The following is a DFT calculation (GGA-PBE) of crystalline Ba3MgZn8 at its relaxed geometry.

Electronic total energy = -18.76 eV/cell
DOS at the Fermi energy = 6.83 states/eV/f.u.
Calculated formation energy = -0.1007 eV/atom
M_tot = 0.000 μB per atom

abc: 6.0567 6.0567 9.0793
angles: 90.00 90.00 120.00
With the nearest neighbours (Å) after each atom.
Fractional positions:
Zn 0.6526 0.8263 0.2576  4 Zn 2.76-2.90, 1 Mg 3.00
Zn 0.4822 0.9644 0.7510  4 Zn 2.71-2.86
Zn 0.4822 0.5178 0.7510  4 Zn 2.71-2.86
Zn 0.1737 0.8263 0.2576  4 Zn 2.76-2.90, 1 Mg 3.00
Zn 0.0356 0.5178 0.7510  4 Zn 2.71-2.86
Zn 0.3333 0.6667 0.0151  6 Zn 2.77-2.86
Zn 0.3333 0.6667 0.4998  6 Zn 2.76
Zn 0.1737 0.3474 0.2576  4 Zn 2.76-2.90, 1 Mg 3.00
Mg 0.0000 0.0000 0.5201  3 Zn 3.00
Ba 0.6667 0.3333 0.4609  12 Zn 3.27-3.55, 3 Mg 3.54
Ba 0.6667 0.3333 0.0526  12 Zn 3.35-3.56, 4 Ba 3.68-3.71
Ba 0.0000 0.0000 0.9258  12 Zn 3.42-3.59, 3 Ba 3.68, 1 Mg 3.68